The following is a PBE+U calculation of a relaxed structure of Li2P2WO8, from Alexandria.

Values from the calculation:
magnetic moment = 1.985 μB/cell
E above lowest polymorph = 25 meV per atom

a b c (Å): 4.950 4.950 7.452
angles (deg): 90.00 90.00 120.00
Positions (direct):
Li: 0.333 0.667 0.190
Li: 0.667 0.333 0.810
P: 0.333 0.667 0.742
P: 0.667 0.333 0.258
W: 0.000 0.000 0.500
O: 0.046 0.686 0.666
O: 0.314 0.360 0.666
O: 0.333 0.667 0.941
O: 0.360 0.046 0.334
O: 0.640 0.954 0.666
O: 0.667 0.333 0.059
O: 0.686 0.640 0.334
O: 0.954 0.314 0.334